Compound: Be2TeAs
Source: the Alexandria database
Functional: PBE-GGA
Structure: relaxed

## Properties
theoretical density = 5.163 g/cm3
E_form (uncorrected) = 0.561 eV/atom
DFT total energy = -3.25 eV/atom
volume = 70.93 Å³/f.u.
distance to the lowest polymorph of the same formula = 654 meV per atom

Cell: 6.2009 6.2009 6.2009 Å, 146.87 146.87 47.55°
Closest atoms and distances in Å follow each position.
Element x y z (fractional)
Be  0.0000  0.0000  0.0000  4 Te 2.50
Be  0.2500  0.7500  0.5000  4 As 2.50
As  0.7500  0.2500  0.5000  4 Be 2.50
Te  0.5000  0.5000  0.0000  4 Be 2.50

Compound: Be2TeAs
Source: the Alexandria database
Functional: PBE-GGA
Structure: relaxed

## Properties
theoretical density = 5.164 g/cm3
E_form (uncorrected) = 0.947 eV/atom
DFT total energy = -2.86 eV/atom
volume = 70.92 Å³/f.u.
distance to the lowest polymorph of the same formula = 1040 meV per atom

Cell: 4.6461 4.6461 4.6461 Å, 60.00 60.00 60.00°
Closest atoms and distances in Å follow each position.
Element x y z (fractional)
Be  0.0000  0.0000  0.0000  4 Te 2.85, 4 Be 2.85
Be  0.2500  0.2500  0.2500  4 Be 2.85, 4 As 2.85
As  0.5000  0.5000  0.5000  4 Be 2.85, 4 Te 2.85
Te  0.7500  0.7500  0.7500  4 As 2.85, 4 Be 2.85

Compound: Be2TeAs
Source: the Alexandria database
Functional: PBE-GGA
Structure: relaxed

## Properties
theoretical density = 4.962 g/cm3
E_form (uncorrected) = -0.020 eV/atom
DFT total energy = -3.83 eV/atom
volume = 73.81 Å³/f.u.
distance to the lowest polymorph of the same formula = 73 meV per atom

Cell: 3.9040 3.9040 6.8489 Å, 63.00 63.00 55.45°
Closest atoms and distances in Å follow each position.
Element x y z (fractional)
Be  0.1794  0.1794  0.8648  3 As 2.24-2.28, 1 Be 2.47
Be  0.1453  0.1453  0.2413  3 Te 2.45-2.52, 1 Be 2.47, 2 As 2.49
As  0.8189  0.8189  0.9544  5 Be 2.24-2.49
Te  0.3564  0.3564  0.4396  4 Be 2.45-2.52

Compound: Be2TeAs
Source: the Alexandria database
Functional: PBE-GGA
Structure: relaxed

## Properties
theoretical density = 5.130 g/cm3
E_form (uncorrected) = 0.578 eV/atom
DFT total energy = -3.23 eV/atom
volume = 71.39 Å³/f.u.
distance to the lowest polymorph of the same formula = 671 meV per atom

Cell: 3.5369 5.7371 3.5181 Å, 90.00 90.00 90.00°
Closest atoms and distances in Å follow each position.
Element x y z (fractional)
Be  0.0000  0.0000  0.0000  4 Te 2.49
Be  0.5000  0.5000  0.0000  4 As 2.49
As  0.0000  0.5000  0.5000  4 Be 2.49
Te  0.5000  0.0000  0.5000  4 Be 2.49

Compound: Be2TeAs
Source: the Alexandria database
Functional: PBE-GGA
Structure: relaxed

## Properties
theoretical density = 4.197 g/cm3
E_form (uncorrected) = -0.051 eV/atom
DFT total energy = -3.86 eV/atom
volume = 87.27 Å³/f.u.
distance to the lowest polymorph of the same formula = 42 meV per atom

Cell: 3.6935 3.4354 6.8776 Å, 90.02 90.00 90.00°
Closest atoms and distances in Å follow each position.
Element x y z (fractional)
Be  0.0000  0.8749  0.0988  2 As 2.29, 2 Te 2.53, 4 Be 2.53
Be  0.5000  0.3749  0.1307  2 As 2.33, 2 Te 2.47, 4 Be 2.53
As  0.5000  0.8749  0.9020  4 Be 2.29-2.33
Te  0.0000  0.3752  0.3685  4 Be 2.47-2.53

Compound: Be2TeAs
Source: the Alexandria database
Functional: PBE-GGA
Structure: relaxed

## Properties
theoretical density = 5.508 g/cm3
E_form (uncorrected) = 0.609 eV/atom
DFT total energy = -3.20 eV/atom
volume = 66.49 Å³/f.u.
distance to the lowest polymorph of the same formula = 702 meV per atom

Cell: 3.2804 3.2804 6.1792 Å, 90.00 90.00 90.00°
Closest atoms and distances in Å follow each position.
Element x y z (fractional)
Be  0.0000  0.0000  0.9267  1 Be 2.18
Be  0.0000  0.0000  0.5733  1 Be 2.18
As  0.5000  0.5000  0.7500  8 Be 2.56
Te  0.5000  0.5000  0.2500  8 Be 3.06, 2 As 3.09, 4 Te 3.28

Compound: Be2TeAs
Source: the Alexandria database
Functional: PBE-GGA
Structure: relaxed

## Properties
theoretical density = 5.536 g/cm3
E_form (uncorrected) = 0.700 eV/atom
DFT total energy = -3.11 eV/atom
volume = 66.15 Å³/f.u.
distance to the lowest polymorph of the same formula = 793 meV per atom

Cell: 4.4420 4.4420 3.3921 Å, 90.00 90.00 98.76°
Closest atoms and distances in Å follow each position.
Element x y z (fractional)
Be  0.0000  0.0000  0.0000  4 As 2.79, 4 Te 2.79, 2 Be 2.89
Be  0.5000  0.5000  0.0000  4 Te 2.79, 4 As 2.79, 2 Be 2.89
As  0.0000  0.5000  0.5000  8 Be 2.79, 2 Te 2.89
Te  0.5000  0.0000  0.5000  8 Be 2.79, 2 As 2.89

Compound: Be2TeAs
Source: the Alexandria database
Functional: PBE-GGA
Structure: relaxed

## Properties
theoretical density = 5.012 g/cm3
E_form (uncorrected) = 0.501 eV/atom
DFT total energy = -3.31 eV/atom
volume = 73.07 Å³/f.u.
distance to the lowest polymorph of the same formula = 594 meV per atom

Cell: 3.4715 3.4715 6.9241 Å, 90.00 90.00 118.87°
Closest atoms and distances in Å follow each position.
Element x y z (fractional)
Be  0.0000  0.0000  0.9613  2 As 2.29
Be  0.0000  0.0000  0.5387  2 As 2.29
As  0.5000  0.5000  0.7500  4 Be 2.29
Te  0.5000  0.5000  0.2500  4 Be 2.67

Compound: BeTe4As
Source: the Alexandria database
Functional: PBE-GGA
Structure: relaxed

## Properties
theoretical density = 5.788 g/cm3
E_form (uncorrected) = 1.019 eV/atom
DFT total energy = -2.47 eV/atom
volume = 170.51 Å³/f.u.

Cell: 6.2243 6.2243 6.2243 Å, 60.00 60.00 60.00°
Closest atoms and distances in Å follow each position.
Element x y z (fractional)
Be  0.0000  0.0000  0.0000  12 Te 3.65, 4 As 3.81
Te  0.8744  0.3752  0.3752  6 Te 3.11-3.12
Te  0.3752  0.3752  0.8744  6 Te 3.11-3.12
Te  0.3752  0.8744  0.3752  6 Te 3.11-3.12
Te  0.3752  0.3752  0.3752  6 Te 3.11-3.12
As  0.7500  0.7500  0.7500  12 Te 3.65, 4 Be 3.81

Compound: Be2TeAs
Source: the Alexandria database
Functional: PBE-GGA
Structure: relaxed

## Properties
theoretical density = 5.130 g/cm3
E_form (uncorrected) = 0.234 eV/atom
DFT total energy = -3.58 eV/atom
volume = 71.39 Å³/f.u.
distance to the lowest polymorph of the same formula = 327 meV per atom

Cell: 6.4801 6.4555 6.4555 Å, 148.20 149.80 44.38°
Closest atoms and distances in Å follow each position.
Element x y z (fractional)
Be  0.2227  0.0960  0.1267  2 As 2.32, 2 Be 2.38-2.39, 2 Te 2.52
Be  0.8612  0.2366  0.6245  2 Be 2.38-2.39, 4 As 2.45, 1 Te 2.50
As  0.3480  0.7216  0.6264  6 Be 2.32-2.45
Te  0.0681  0.4458  0.6224  3 Be 2.50-2.52

Compound: BeTl2TeAs
Source: the Alexandria database
Functional: PBE-GGA
Structure: relaxed

## Properties
theoretical density = 8.083 g/cm3
E_form (uncorrected) = 0.426 eV/atom
DFT total energy = -2.82 eV/atom
volume = 127.43 Å³/f.u.

Cell: 4.8355 5.4501 4.8355 Å, 90.00 90.00 90.00°
Closest atoms and distances in Å follow each position.
Element x y z (fractional)
Be  0.0000  0.0000  0.0000  4 Tl 2.42
Tl  0.0000  0.0000  0.5000  2 Be 2.42
Tl  0.5000  0.0000  0.0000  2 Be 2.42
Te  0.0000  0.5000  0.0000  2 Be 2.73
As  0.5000  0.5000  0.5000  4 Te 3.42, 8 Tl 3.64

Compound: YBeTeAs2
Source: the Alexandria database
Functional: PBE-GGA
Structure: relaxed

## Properties
theoretical density = 4.120 g/cm3
E_form (uncorrected) = 0.862 eV/atom
DFT total energy = -3.66 eV/atom
volume = 151.28 Å³/f.u.

Cell: 5.4402 5.1117 5.4402 Å, 90.00 90.00 90.00°
Closest atoms and distances in Å follow each position.
Element x y z (fractional)
Y  0.0000  0.0000  0.0000  2 Be 2.56, 4 As 2.72
Be  0.0000  0.5000  0.0000  2 Y 2.56
As  0.0000  0.0000  0.5000  2 Y 2.72
As  0.5000  0.0000  0.0000  2 Y 2.72
Te  0.5000  0.5000  0.5000  8 As 3.73, 4 Be 3.85